1:
Entry from Alexandria via LeMat-Bulk: a geometry-optimized Ce2TcBr structure (PBE-GGA).

Geometry as POSCAR:
```
Ce2TcBr
1.0
4.015 0.000 0.000
2.007 3.477 0.000
2.007 1.159 7.701
Br Ce Tc
1 2 1
Direct
0.500 0.500 0.500
0.268 0.268 0.196
0.732 0.732 0.804
0.000 0.000 0.000
```

Summary:
N(E_F)	6.32	states/eV/cell



2:
Entry from Alexandria via LeMat-Bulk: a geometry-optimized Ce2TcBr structure (PBE-GGA).

Geometry as POSCAR:
```
Ce2TcBr
1.0
4.041 0.000 0.000
0.000 5.508 2.191
0.000 1.044 9.694
Br Ce Tc
2 4 2
Direct
0.423 0.693 0.579
0.923 0.307 0.421
0.422 0.562 0.129
0.922 0.438 0.871
0.923 0.926 0.270
0.423 0.074 0.730
0.423 0.130 0.061
0.923 0.870 0.939
```

Summary:
N(E_F)	15.31	states/eV/cell



Ordering by calculated energy gives the sequence 2, 1, with the first entry being the most stable.